[1]
Entry from Alexandria via LeMat-Bulk: a geometry-optimized SrMgIr2 structure (PBE-GGA).

```
SrMgIr2
1.0
4.525 0.000 0.000
0.000 3.334 0.013
0.000 1.651 5.808
Ir Sr Mg
2 1 1
direct
0.500 0.065 0.243 Ir
0.000 0.160 0.056 Ir
0.500 0.793 0.790 Sr
0.000 0.482 0.411 Mg
```

Results
Formation enthalpy at 0 K, eV per atom: 0.098
DFT total energy, eV/atom: -5.151

[2]
Entry from Alexandria via LeMat-Bulk: a geometry-optimized La3Zr5O12 structure (PBE-GGA).

```
La3Zr5O12
1.0
11.691 0.000 0.000
-3.897 11.023 0.000
-3.897 -5.511 9.546
O Zr La
48 20 12
direct
0.420 0.126 0.596 O
0.706 0.126 0.030 O
0.676 0.470 0.596 O
0.970 0.596 0.176 O
0.404 0.374 0.580 O
0.294 0.420 0.824 O
0.676 0.206 0.580 O
0.470 0.794 0.874 O
0.126 0.420 0.096 O
0.176 0.096 0.970 O
0.794 0.324 0.920 O
0.470 0.676 0.096 O
0.206 0.676 0.080 O
0.824 0.920 0.294 O
0.824 0.904 0.030 O
0.626 0.596 0.920 O
0.030 0.404 0.824 O
0.874 0.580 0.904 O
0.580 0.706 0.676 O
0.374 0.404 0.080 O
0.324 0.530 0.404 O
0.176 0.080 0.706 O
0.206 0.530 0.626 O
0.580 0.874 0.404 O
0.096 0.176 0.470 O
0.920 0.824 0.794 O
0.904 0.080 0.874 O
0.294 0.874 0.970 O
0.596 0.626 0.420 O
0.030 0.626 0.706 O
0.530 0.206 0.126 O
0.420 0.294 0.324 O
0.374 0.970 0.794 O
0.626 0.030 0.206 O
0.324 0.794 0.420 O
0.126 0.706 0.530 O
0.080 0.176 0.206 O
0.596 0.970 0.676 O
0.404 0.030 0.324 O
0.080 0.904 0.374 O
0.920 0.096 0.626 O
0.794 0.470 0.374 O
0.530 0.324 0.904 O
0.706 0.580 0.176 O
0.096 0.920 0.126 O
0.970 0.374 0.294 O
0.904 0.824 0.530 O
0.874 0.294 0.470 O
0.500 0.500 0.000 Zr
0.625 0.750 0.875 Zr
0.125 0.375 0.250 Zr
0.500 0.000 0.000 Zr
0.500 0.000 0.500 Zr
0.875 0.250 0.625 Zr
0.750 0.625 0.375 Zr
0.375 0.125 0.750 Zr
0.500 0.500 0.500 Zr
0.000 0.500 0.500 Zr
0.250 0.375 0.625 Zr
0.000 0.000 0.000 Zr
0.125 0.750 0.375 Zr
0.375 0.250 0.125 Zr
0.000 0.500 0.000 Zr
0.875 0.625 0.750 Zr
0.250 0.875 0.125 Zr
0.625 0.875 0.250 Zr
0.750 0.125 0.875 Zr
0.000 0.000 0.500 Zr
0.250 0.625 0.875 La
0.750 0.375 0.125 La
0.875 0.125 0.250 La
0.375 0.625 0.250 La
0.875 0.750 0.125 La
0.625 0.250 0.375 La
0.125 0.250 0.875 La
0.750 0.875 0.625 La
0.375 0.750 0.625 La
0.625 0.375 0.750 La
0.125 0.875 0.750 La
0.250 0.125 0.375 La
```

Results
DFT total energy, eV/atom: -8.840
Formation energy (no corrections), eV/atom: -2.989

[3]
Entry from Alexandria via LeMat-Bulk: a geometry-optimized ZnAs2Ru structure (PBE-GGA).

```
ZnAs2Ru
1.0
-3.383 -0.435 -3.660
-1.041 -4.749 -1.182
0.194 2.570 4.288
Zn Ru As
1 1 2
direct
0.750 0.250 0.500 Zn
0.500 0.500 0.000 Ru
0.000 0.000 0.000 As
0.250 0.750 0.500 As
```

Results
Formation enthalpy at 0 K, eV per atom: 0.257
DFT total energy, eV/atom: -4.706

[4]
Entry from Alexandria via LeMat-Bulk: a geometry-optimized Pm6HPb6 structure (PBE-GGA).

```
Pm6HPb6
1.0
6.805 0.000 0.000
-3.402 5.893 0.000
0.000 0.000 10.385
Pb Pm H
6 6 1
direct
0.500 0.500 0.748 Pb
0.500 0.500 0.252 Pb
0.500 0.000 0.748 Pb
0.500 0.000 0.252 Pb
0.000 0.500 0.252 Pb
0.000 0.500 0.748 Pb
0.333 0.667 0.000 Pm
0.667 0.333 0.500 Pm
0.000 0.000 0.204 Pm
0.333 0.667 0.500 Pm
0.000 0.000 0.796 Pm
0.667 0.333 0.000 Pm
0.000 0.000 0.000 H
```

Results
DFT total energy, eV/atom: -4.532

[5]
Entry from Alexandria via LeMat-Bulk: a geometry-optimized NaInTe2 structure (PBE-GGA).

```
NaInTe2
1.0
-4.341 -3.265 5.246
3.662 -0.800 2.534
-3.692 7.341 3.614
Na In Te
2 2 4
direct
0.516 0.413 0.026 Na
0.175 0.730 0.659 Na
0.713 0.170 0.541 In
0.977 0.972 0.144 In
0.088 0.120 0.441 Te
0.116 0.379 0.959 Te
0.575 0.763 0.726 Te
0.602 0.022 0.244 Te
```

Results
DFT total energy, eV/atom: -3.153
Formation energy (no corrections), eV/atom: -0.568

[6]
Entry from Alexandria via LeMat-Bulk: a geometry-optimized PuThTc4 structure (PBE-GGA).

```
PuThTc4
1.0
-5.342 0.288 -0.928
-2.597 -4.208 -2.242
-3.437 -2.968 2.977
Pu Tc Th
1 4 1
direct
0.000 0.000 0.000 Pu
0.625 0.124 0.625 Tc
0.124 0.625 0.625 Tc
0.625 0.625 0.124 Tc
0.625 0.625 0.625 Tc
0.250 0.250 0.250 Th
```

Results
Formation enthalpy at 0 K, eV per atom: -0.028
DFT total energy, eV/atom: -10.564

[7]
Entry from Alexandria via LeMat-Bulk: a geometry-optimized AgIrBr structure (PBE-GGA).

```
AgIrBr
1.0
4.473 0.000 0.000
2.236 3.873 0.000
2.236 1.291 3.652
Ir Br Ag
1 1 1
direct
0.750 0.750 0.750 Ir
0.500 0.500 0.500 Br
0.000 0.000 0.000 Ag
```

Results
Energy relative to the lowest polymorph listed for this composition, eV/atom: 0.262
DFT total energy, eV/atom: -3.477
Formation energy (no corrections), eV/atom: 0.985

[8]
Entry from Alexandria via LeMat-Bulk: a geometry-optimized EuDyMgTl structure (PBE-GGA).

```
EuDyMgTl
1.0
-5.434 -0.374 0.516
-2.320 -4.839 1.065
-2.223 -0.947 4.909
Eu Tl Dy Mg
1 1 1 1
direct
0.000 0.000 0.000 Eu
0.750 0.750 0.750 Tl
0.500 0.500 0.500 Dy
0.250 0.250 0.250 Mg
```

Results
Formation enthalpy at 0 K, eV per atom: -0.232
DFT total energy, eV/atom: -4.941

[9]
Entry from Alexandria via LeMat-Bulk: a geometry-optimized La6BiRu2 structure (PBE-GGA).

```
La6BiRu2
1.0
7.371 -0.545 -0.528
1.310 9.254 1.826
1.310 2.125 9.190
La Ru Bi
12 4 2
direct
0.354 0.005 0.214 La
0.199 0.994 0.599 La
0.146 0.786 0.995 La
0.699 0.599 0.994 La
0.801 0.006 0.401 La
0.646 0.995 0.786 La
0.404 0.362 0.401 La
0.854 0.214 0.005 La
0.301 0.401 0.006 La
0.904 0.401 0.362 La
0.096 0.599 0.638 La
0.596 0.638 0.599 La
0.383 0.712 0.798 Ru
0.883 0.798 0.712 Ru
0.117 0.202 0.288 Ru
0.617 0.288 0.202 Ru
0.750 0.806 0.194 Bi
0.250 0.194 0.806 Bi
```

Results
Formation enthalpy at 0 K, eV per atom: -0.297
Energy relative to the lowest polymorph listed for this composition, eV/atom: 0.084
DFT total energy, eV/atom: -6.075

[10]
Entry from Alexandria via LeMat-Bulk: a geometry-optimized CuAgOs2 structure (PBE-GGA).

```
CuAgOs2
1.0
3.678 0.000 0.000
0.000 3.678 0.000
1.839 1.839 9.620
Ag Os Cu
2 4 2
direct
0.750 0.250 0.500 Ag
0.000 0.000 0.000 Ag
0.375 0.416 0.750 Os
0.584 0.125 0.250 Os
0.875 0.834 0.750 Os
0.166 0.625 0.250 Os
0.250 0.750 0.500 Cu
0.500 0.500 0.000 Cu
```

Results
Formation enthalpy at 0 K, eV per atom: 0.959
Energy relative to the lowest polymorph listed for this composition, eV/atom: 0.650
DFT total energy, eV/atom: -6.393

[11]
Entry from Alexandria via LeMat-Bulk: a geometry-optimized Zn2CdAuO structure (PBE-GGA).

```
Zn2CdAuO
1.0
-2.265 1.068 3.087
2.701 -4.099 3.400
2.727 2.686 1.072
Cd Zn Au O
1 2 1 1
direct
0.500 0.500 0.500 Cd
0.500 0.000 0.000 Zn
0.000 0.000 0.500 Zn
0.000 0.500 0.000 Au
0.000 0.000 0.000 O
```

Results
DFT total energy, eV/atom: -2.478
Formation energy (no corrections), eV/atom: -0.138

[12]
Entry from Alexandria via LeMat-Bulk: a geometry-optimized Be2CdOs structure (PBE-GGA).

```
Be2CdOs
1.0
-0.871 -3.675 2.794
1.868 -3.301 2.771
-0.174 1.523 3.985
Cd Be Os
1 2 1
direct
0.491 0.491 0.548 Cd
0.007 0.007 0.044 Be
0.732 0.732 0.727 Be
0.270 0.270 0.181 Os
```

Results
Formation enthalpy at 0 K, eV per atom: 0.272
DFT total energy, eV/atom: -4.627

[13]
Entry from Alexandria via LeMat-Bulk: a geometry-optimized AcYMgBi structure (PBE-GGA).

```
AcYMgBi
1.0
-5.112 2.037 1.359
-4.497 -3.450 0.077
-2.397 -1.422 4.936
Ac Bi Y Mg
1 1 1 1
direct
0.250 0.250 0.250 Ac
0.500 0.500 0.500 Bi
0.750 0.750 0.750 Y
0.000 0.000 0.000 Mg
```

Results
Formation enthalpy at 0 K, eV per atom: -0.315
DFT total energy, eV/atom: -4.327

[14]
Entry from Alexandria via LeMat-Bulk: a geometry-optimized La3NdSm6Ho2 structure (PBE-GGA).

```
La3NdSm6Ho2
1.0
-4.897 -0.358 3.971
0.903 -4.517 -4.319
8.067 -4.430 7.866
La Sm Ho Nd
3 6 2 1
direct
0.167 0.833 0.500 La
0.833 0.167 0.500 La
0.500 0.500 0.500 La
0.253 0.253 0.755 Sm
0.584 0.918 0.755 Sm
0.747 0.747 0.245 Sm
0.416 0.082 0.245 Sm
0.918 0.584 0.755 Sm
0.082 0.416 0.245 Sm
0.333 0.667 0.000 Ho
0.667 0.333 0.000 Ho
0.000 0.000 0.000 Nd
```

Results
Formation enthalpy at 0 K, eV per atom: 0.020
DFT total energy, eV/atom: -4.732

[15]
Entry from Alexandria via LeMat-Bulk: a geometry-optimized CsSe3S2 structure (PBE-GGA).

```
CsSe3S2
1.0
-4.872 -4.116 2.842
3.238 -4.282 -4.466
3.761 -13.429 4.477
Se Cs S
6 2 4
direct
0.946 0.383 0.450 Se
0.617 0.054 0.050 Se
0.383 0.946 0.950 Se
0.590 0.410 0.750 Se
0.410 0.590 0.250 Se
0.054 0.617 0.550 Se
0.024 0.976 0.750 Cs
0.976 0.024 0.250 Cs
0.208 0.627 0.934 S
0.627 0.208 0.434 S
0.792 0.373 0.066 S
0.373 0.792 0.566 S
```

Results
DFT total energy, eV/atom: -3.573
Formation energy (no corrections), eV/atom: -0.313

[16]
Entry from Alexandria via LeMat-Bulk: a geometry-optimized NaCaRhF6 structure (PBE-GGA).

```
NaCaRhF6
1.0
5.691 0.000 0.000
-2.846 4.929 0.000
0.000 0.000 9.475
F Rh Ca Na
12 2 2 2
direct
0.035 0.666 0.866 F
0.965 0.630 0.366 F
0.334 0.370 0.866 F
0.370 0.334 0.366 F
0.035 0.370 0.634 F
0.965 0.334 0.134 F
0.666 0.035 0.366 F
0.370 0.035 0.134 F
0.630 0.666 0.634 F
0.630 0.965 0.866 F
0.334 0.965 0.634 F
0.666 0.630 0.134 F
0.667 0.333 0.250 Rh
0.333 0.667 0.750 Rh
0.333 0.667 0.250 Ca
0.667 0.333 0.750 Ca
0.000 0.000 0.500 Na
0.000 0.000 0.000 Na
```

Results
DFT total energy, eV/atom: -5.051
Formation energy (no corrections), eV/atom: -2.618

[17]
Entry from Alexandria via LeMat-Bulk: a geometry-optimized Mg2TcSe structure (PBE-GGA).

```
Mg2TcSe
1.0
5.982 0.114 0.009
3.249 5.024 -0.009
-4.128 -3.445 2.625
Mg Tc Se
2 1 1
direct
0.736 0.236 0.500 Mg
0.043 0.043 0.000 Mg
0.273 0.773 0.500 Tc
0.449 0.449 0.000 Se
```

Results
DFT total energy, eV/atom: -4.359
Formation energy (no corrections), eV/atom: -0.099

[18]
Entry from Alexandria via LeMat-Bulk: a geometry-optimized MgCoBr structure (PBE-GGA).

```
MgCoBr
1.0
3.665 0.000 0.002
0.001 3.866 -0.001
-1.813 0.005 9.727
Co Mg Br
2 2 2
direct
0.483 0.550 0.571 Co
0.540 0.050 0.686 Co
0.080 0.550 0.774 Mg
0.937 0.050 0.484 Mg
0.843 0.050 0.938 Br
0.537 0.551 0.320 Br
```

Results
Energy relative to the lowest polymorph listed for this composition, eV/atom: 0.150
DFT total energy, eV/atom: -3.783
Formation energy (no corrections), eV/atom: -0.326

[19]
Entry from Alexandria via LeMat-Bulk: a geometry-optimized TaMnTl structure (PBE-GGA).

```
TaMnTl
1.0
4.546 0.000 0.000
2.273 3.937 0.000
2.273 1.312 3.712
Mn Ta Tl
1 1 1
direct
0.500 0.500 0.500 Mn
0.750 0.750 0.750 Ta
0.000 0.000 0.000 Tl
```

Results
Formation enthalpy at 0 K, eV per atom: 1.150
Energy relative to the lowest polymorph listed for this composition, eV/atom: 0.730
DFT total energy, eV/atom: -6.646

[20]
Entry from Alexandria via LeMat-Bulk: a geometry-optimized HgSb2As structure (PBE-GGA).

```
HgSb2As
1.0
5.668 -0.079 0.061
4.502 3.446 0.061
1.421 0.470 5.724
As Sb Hg
1 2 1
direct
0.480 0.480 0.599 As
0.009 0.009 0.938 Sb
0.769 0.769 0.714 Sb
0.242 0.242 0.249 Hg
```

Results
Energy relative to the lowest polymorph listed for this composition, eV/atom: 0.186
DFT total energy, eV/atom: -3.082
Formation energy (no corrections), eV/atom: 0.217